Record 1
Entry from Alexandria: a relaxed structure of LaAlPt3 (PBEsol).

```
LaAlPt3
1.0
4.6522 0.0000 0.0000
0.0000 4.6522 0.0000
0.0000 0.0000 4.6522
La Al Pt
1 1 3
Cartesian
0.0000 0.0000 0.0000 La
2.3261 2.3261 2.3261 Al
0.0000 2.3261 2.3261 Pt
2.3261 0.0000 2.3261 Pt
2.3261 2.3261 0.0000 Pt
```

Output
Symmetry: No. 221
Formation energy (kJ/mol of atoms): -53.0

---

Record 2
Entry from Alexandria: a relaxed structure of LaSc2Cu (PBEsol).

```
LaSc2Cu
1.0
1.7045 0.9841 9.3148
-1.7045 0.9841 9.3148
0.0000 -1.9682 9.3148
La Sc Cu
1 2 1
Cartesian
0.0000 0.0000 0.0000 La
0.0000 0.0000 6.4619 Sc
0.0000 0.0000 21.4826 Sc
0.0000 0.0000 13.9723 Cu
```

Output
Energy above the most stable polymorph in this dataset (eV/f.u.): 0.62
Symmetry: No. 166
Formation energy (kJ/mol of atoms): 8.3

---

Record 3
Entry from Alexandria: a relaxed structure of Ta4Co2N (PBEsol).

```
Ta4Co2N
1.0
0.0000 5.7368 5.7368
5.7368 0.0000 5.7368
5.7368 5.7368 0.0000
Ta Co N
16 8 4
Cartesian
0.0000 0.0000 0.0000 Ta
2.8684 2.8684 0.0000 Ta
2.8684 0.0000 2.8684 Ta
4.3026 4.3026 2.1576 Ta
4.3026 2.1576 4.3026 Ta
6.4476 4.3026 4.3026 Ta
7.1710 7.1710 5.0260 Ta
7.1710 5.0260 7.1710 Ta
9.3160 7.1710 7.1710 Ta
0.0000 2.8684 2.8684 Ta
2.1576 4.3026 4.3026 Ta
4.3026 6.4476 4.3026 Ta
4.3026 4.3026 6.4476 Ta
5.0260 7.1710 7.1710 Ta
7.1710 9.3160 7.1710 Ta
7.1710 7.1710 9.3160 Ta
9.0840 5.2581 5.2581 Co
2.3897 2.3897 2.3897 Co
6.2156 6.2156 2.3897 Co
6.2156 2.3897 6.2156 Co
5.2581 9.0840 5.2581 Co
5.2581 5.2581 9.0840 Co
9.0840 9.0840 9.0840 Co
2.3897 6.2156 6.2156 Co
5.7368 2.8684 2.8684 N
2.8684 5.7368 2.8684 N
2.8684 2.8684 5.7368 N
5.7368 5.7368 5.7368 N
```

Output
Symmetry: No. 227
Formation energy without anion corrections (eV/atom): -0.64

---

Record 4
Entry from Alexandria: a relaxed structure of LiNi2Hg (PBEsol).

```
LiNi2Hg
1.0
3.6397 0.0000 0.0000
0.0000 3.6397 0.0000
0.0000 0.0000 3.8518
Li Ni Hg
1 2 1
Cartesian
0.0000 0.0000 0.0000 Li
0.0000 1.8198 1.9259 Ni
1.8198 0.0000 1.9259 Ni
1.8198 1.8198 0.0000 Hg
```

Output
Symmetry: No. 123
Formation energy (kJ/mol of atoms): -0.3